Material: Tl3SbOs
Method: DFT, GGA-PBE
State: relaxed

Output
Its formation energy (no corrections) is 0.682 eV/atom. Its space group is No. 221. As for the excess energy over the best structure of this formula in the dataset: 0 meV per atom.

Unit cell a=5.341 b=5.341 c=5.341 alpha=90.00 beta=90.00 gamma=90.00
Sites, in units of the cell vectors:
Tl 0.000 0.000 0.500
Tl 0.000 0.500 0.000
Tl 0.500 0.000 0.000
Sb 0.500 0.500 0.500
Os 0.000 0.000 0.000

---

Material: Zr3C5
Method: DFT, GGA-PBE
State: relaxed

Output
Its space group is No. 65. As for the excess energy over the best structure of this formula in the dataset: 634 meV per atom. The formation energy comes out at 11.3 kcal/mol of atoms.

Unit cell a=6.858 b=6.858 c=3.431 alpha=90.00 beta=90.00 gamma=140.39
Sites, in units of the cell vectors:
Zr 0.000 0.000 0.000
Zr 0.331 0.669 0.500
Zr 0.669 0.331 0.500
C 0.000 0.500 0.000
C 0.343 0.343 0.500
C 0.500 0.000 0.000
C 0.500 0.500 0.000
C 0.657 0.657 0.500

---

Material: Cu2SiPtI
Method: DFT, GGA-PBE
State: relaxed

Output
Its formation energy (no corrections) is 0.805 eV/atom. Its space group is No. 123.

Unit cell a=4.303 b=4.303 c=5.828 alpha=90.00 beta=90.00 gamma=90.00
Sites, in units of the cell vectors:
Cu 0.000 0.500 0.000
Cu 0.500 0.000 0.000
Si 0.000 0.000 0.000
Pt 0.500 0.500 0.500
I 0.000 0.000 0.500

---

Material: SrLiNi2B
Method: DFT, GGA-PBE
State: relaxed

Output
Its space group is No. 123. The formation energy comes out at -0.4 kcal/mol of atoms.

Unit cell a=4.073 b=4.073 c=4.448 alpha=90.00 beta=90.00 gamma=90.00
Sites, in units of the cell vectors:
Sr 0.000 0.000 0.000
Li 0.500 0.500 0.000
Ni 0.000 0.500 0.500
Ni 0.500 0.000 0.500
B 0.500 0.500 0.500